[1]
Entry from the Alexandria database: a geometry-optimized Er8SiTe4As3 structure (PBE-GGA).

The structure in POSCAR format:
```
Er8SiTe4As3
1.0
4.1706 2.4079 7.0099
-4.1706 2.4079 7.0099
0.0000 -4.8158 7.0099
Er Si Te As
8 1 4 3
direct
0.2391 0.2391 0.2391
0.2440 0.7364 0.7364
0.2636 0.2636 0.7560
0.2636 0.7560 0.2636
0.7364 0.2440 0.7364
0.7364 0.7364 0.2440
0.7560 0.2636 0.2636
0.7609 0.7609 0.7609
0.5000 0.5000 0.5000
0.0000 0.0000 0.0000
0.0000 0.5000 0.5000
0.5000 0.0000 0.5000
0.5000 0.5000 0.0000
0.0000 0.0000 0.5000
0.0000 0.5000 0.0000
0.5000 0.0000 0.0000
```

ΔE_f (raw): -1375 meV/atom
spin magnetization: 0.00 μB/f.u.
D(E_F): 4.78 states/eV/f.u.

[2]
Entry from the Alexandria database: a geometry-optimized MnZn2Ni2 structure (PBE-GGA).

The structure in POSCAR format:
```
MnZn2Ni2
1.0
6.9430 0.0000 0.0000
0.0000 6.9430 0.0000
0.0000 0.0000 2.5672
Mn Zn Ni
2 4 4
direct
0.0000 0.0000 0.0000
0.5000 0.5000 0.0000
0.1726 0.3274 0.5000
0.3274 0.8274 0.5000
0.6726 0.1726 0.5000
0.8274 0.6726 0.5000
0.1255 0.6255 0.0000
0.3745 0.1255 0.0000
0.6255 0.8745 0.0000
0.8745 0.3745 0.0000
```

distance to the lowest polymorph of the same formula: 352 meV per atom
spin magnetization: 0.18 μB/f.u.
ΔH_f (0 K): 0.21 eV per atom
D(E_F): 7.86 states/eV/f.u.

[3]
Entry from the Alexandria database: a geometry-optimized Ca3ZnAu structure (PBE-GGA).

The structure in POSCAR format:
```
Ca3ZnAu
1.0
5.6752 0.0000 0.0000
0.0000 5.6752 0.0000
0.0000 0.0000 5.6752
Ca Zn Au
3 1 1
direct
0.0000 0.0000 0.5000
0.0000 0.5000 0.0000
0.5000 0.0000 0.0000
0.5000 0.5000 0.5000
0.0000 0.0000 0.0000
```

distance to the lowest polymorph of the same formula: 228 meV per atom
spin magnetization: 0.00 μB/f.u.
ΔH_f (0 K): -0.19 eV per atom
D(E_F): 3.59 states/eV/f.u.

[4]
Entry from the Alexandria database: a geometry-optimized Cs2TeF structure (PBE-GGA).

The structure in POSCAR format:
```
Cs2TeF
1.0
3.7998 0.0000 0.0000
0.0000 3.7998 0.0000
0.0000 0.0000 9.3111
Cs Te F
2 1 1
direct
0.0000 0.0000 0.1962
0.0000 0.0000 0.8038
0.5000 0.5000 0.5000
0.5000 0.5000 0.0000
```

distance to the lowest polymorph of the same formula: 0 meV per atom
ΔE_f (raw): -1591 meV/atom
spin magnetization: 0.00 μB/f.u.
D(E_F): 1.36 states/eV/f.u.

[5]
Entry from the Alexandria database: a geometry-optimized Tb6Pr2Ho3 structure (PBE-GGA).

The structure in POSCAR format:
```
Tb6Pr2Ho3
1.0
-2.3747 2.3747 16.7401
2.3747 -2.3747 16.7401
2.3747 2.3747 -16.7401
Tb Pr Ho
6 2 3
direct
0.1227 0.6227 0.5000
0.1969 0.1969 0.0000
0.3773 0.8773 0.5000
0.6227 0.1227 0.5000
0.8031 0.8031 0.0000
0.8773 0.3773 0.5000
0.0463 0.0463 0.0000
0.9537 0.9537 0.0000
0.2992 0.2992 0.0000
0.5000 0.5000 0.0000
0.7008 0.7008 0.0000
```

distance to the lowest polymorph of the same formula: 93 meV per atom
spin magnetization: 0.00 μB/f.u.
ΔH_f (0 K): 0.27 eV per atom
D(E_F): 15.77 states/eV/f.u.

[6]
Entry from the Alexandria database: a geometry-optimized TlCo2Pt structure (PBE-GGA).

The structure in POSCAR format:
```
TlCo2Pt
1.0
2.9144 0.0000 0.0000
0.0000 2.9144 0.0000
0.0000 0.0000 7.1845
Tl Co Pt
1 2 1
direct
0.0000 0.0000 0.0000
0.5000 0.5000 0.2749
0.5000 0.5000 0.7251
0.0000 0.0000 0.5000
```

distance to the lowest polymorph of the same formula: 101 meV per atom
spin magnetization: 3.44 μB/f.u.
ΔH_f (0 K): 0.36 eV per atom
D(E_F): 6.31 states/eV/f.u.

[7]
Entry from the Alexandria database: a geometry-optimized NpHS2I structure (PBE-GGA).

The structure in POSCAR format:
```
NpHS2I
1.0
6.9758 0.0000 0.0000
0.0000 3.9894 0.0000
-0.9642 0.0000 8.3471
Np H S I
2 2 4 2
direct
0.1523 0.2500 0.2347
0.8477 0.7500 0.7653
0.2966 0.2500 0.8401
0.7034 0.7500 0.1599
0.1128 0.2500 0.8841
0.3680 0.7500 0.1654
0.6320 0.2500 0.8346
0.8872 0.7500 0.1159
0.2293 0.7500 0.5427
0.7707 0.2500 0.4573
```

spin magnetization: 3.00 μB/f.u.
final energy: -0.43605 Ry per atom
D(E_F): 7.85 states/eV/f.u.

[8]
Entry from the Alexandria database: a geometry-optimized ThMg3Zn3 structure (PBE-GGA).

The structure in POSCAR format:
```
ThMg3Zn3
1.0
7.0388 0.0000 0.0000
0.0000 7.0388 0.0000
0.0000 0.0000 7.0388
Th Mg Zn
2 6 6
direct
0.0000 0.0000 0.0000
0.5000 0.5000 0.5000
0.0000 0.2500 0.5000
0.0000 0.7500 0.5000
0.2500 0.5000 0.0000
0.5000 0.0000 0.2500
0.5000 0.0000 0.7500
0.7500 0.5000 0.0000
0.0000 0.5000 0.2500
0.0000 0.5000 0.7500
0.2500 0.0000 0.5000
0.5000 0.2500 0.0000
0.5000 0.7500 0.0000
0.7500 0.0000 0.5000
```

distance to the lowest polymorph of the same formula: 570 meV per atom
spin magnetization: 0.00 μB/f.u.
ΔH_f (0 K): 0.48 eV per atom
D(E_F): 5.73 states/eV/f.u.

[9]
Entry from the Alexandria database: a geometry-optimized AgRh3F structure (PBE-GGA).

The structure in POSCAR format:
```
AgRh3F
1.0
4.2989 0.0000 0.0000
0.0000 4.2989 0.0000
0.0000 0.0000 4.2989
Ag Rh F
1 3 1
direct
0.0000 0.0000 0.0000
0.0000 0.5000 0.5000
0.5000 0.0000 0.5000
0.5000 0.5000 0.0000
0.5000 0.5000 0.5000
```

distance to the lowest polymorph of the same formula: 0 meV per atom
ΔE_f (raw): 687 meV/atom
spin magnetization: 3.72 μB/f.u.
D(E_F): 10.10 states/eV/f.u.

[10]
Entry from the Alexandria database: a geometry-optimized RbAl3Sn3 structure (PBE-GGA).

The structure in POSCAR format:
```
RbAl3Sn3
1.0
3.6724 2.1202 9.9341
-3.6724 2.1202 9.9341
0.0000 -4.2405 9.9341
Rb Al Sn
2 6 6
direct
0.1670 0.1670 0.1670
0.8330 0.8330 0.8330
0.0150 0.6953 0.3596
0.3047 0.6404 0.9850
0.3596 0.0150 0.6953
0.6404 0.9850 0.3047
0.6953 0.3596 0.0150
0.9850 0.3047 0.6404
0.0819 0.4025 0.7285
0.2715 0.9181 0.5975
0.4025 0.7285 0.0819
0.5975 0.2715 0.9181
0.7285 0.0819 0.4025
0.9181 0.5975 0.2715
```

distance to the lowest polymorph of the same formula: 0 meV per atom
spin magnetization: 0.00 μB/f.u.
ΔH_f (0 K): 0.00 eV per atom
D(E_F): 0.50 states/eV/f.u.

[11]
Entry from the Alexandria database: a geometry-optimized K2LiSeBr6 structure (PBE-GGA).

The structure in POSCAR format:
```
K2LiSeBr6
1.0
3.7603 2.1710 13.1143
-3.7603 2.1710 13.1143
0.0000 -4.3420 13.1143
K Li Se Br
4 2 2 12
direct
0.1139 0.1139 0.1139
0.3036 0.3036 0.3036
0.6964 0.6964 0.6964
0.8861 0.8861 0.8861
0.4196 0.4196 0.4196
0.5804 0.5804 0.5804
0.0000 0.0000 0.0000
0.5000 0.5000 0.5000
0.1248 0.6277 0.6277
0.2129 0.2129 0.6950
0.2129 0.6950 0.2129
0.3050 0.7871 0.7871
0.3723 0.3723 0.8752
0.3723 0.8752 0.3723
0.6277 0.1248 0.6277
0.6277 0.6277 0.1248
0.6950 0.2129 0.2129
0.7871 0.3050 0.7871
0.7871 0.7871 0.3050
0.8752 0.3723 0.3723
```

ΔE_f (raw): -938 meV/atom
spin magnetization: 0.00 μB/f.u.
D(E_F): 4.67 states/eV/f.u.

[12]
Entry from the Alexandria database: a geometry-optimized SmDy6 structure (PBE-GGA).

The structure in POSCAR format:
```
SmDy6
1.0
-4.0125 4.0125 4.0125
4.0125 -4.0125 4.0125
4.0125 4.0125 -4.0125
Sm Dy
1 6
direct
0.0000 0.0000 0.0000
0.2500 0.5000 0.7500
0.2500 0.7500 0.5000
0.5000 0.2500 0.7500
0.5000 0.7500 0.2500
0.7500 0.2500 0.5000
0.7500 0.5000 0.2500
```

distance to the lowest polymorph of the same formula: 1165 meV per atom
spin magnetization: 0.00 μB/f.u.
ΔH_f (0 K): 1.43 eV per atom
D(E_F): 6.40 states/eV/f.u.

[13]
Entry from the Alexandria database: a geometry-optimized MnZnFe2 structure (PBE-GGA).

The structure in POSCAR format:
```
MnZnFe2
1.0
3.5645 0.0000 0.0000
0.0000 3.5645 0.0000
0.0000 0.0000 3.8069
Mn Zn Fe
1 1 2
direct
0.0000 0.0000 0.0000
0.5000 0.5000 0.0000
0.0000 0.5000 0.5000
0.5000 0.0000 0.5000
```

spin magnetization: 6.61 μB/f.u.
ΔH_f (0 K): 0.12 eV per atom
D(E_F): 4.85 states/eV/f.u.

[14]
Entry from the Alexandria database: a geometry-optimized MgFe2NiN structure (PBE-GGA).

The structure in POSCAR format:
```
MgFe2NiN
1.0
3.7952 0.0000 0.0000
0.0000 3.7952 0.0000
0.0000 0.0000 3.9209
Mg Fe Ni N
1 2 1 1
direct
0.0000 0.0000 0.0000
0.0000 0.5000 0.5000
0.5000 0.0000 0.5000
0.5000 0.5000 0.0000
0.5000 0.5000 0.5000
```

ΔE_f (raw): -135 meV/atom
spin magnetization: 4.02 μB/f.u.
D(E_F): 3.68 states/eV/f.u.

[15]
Entry from the Alexandria database: a geometry-optimized KLaMn3 structure (PBE-GGA).

The structure in POSCAR format:
```
KLaMn3
1.0
5.5522 0.0000 0.0000
0.0000 5.5522 0.0000
0.0000 0.0000 5.5522
K La Mn
1 1 3
direct
0.0000 0.0000 0.0000
0.5000 0.5000 0.5000
0.0000 0.5000 0.5000
0.5000 0.0000 0.5000
0.5000 0.5000 0.0000
```

distance to the lowest polymorph of the same formula: 0 meV per atom
spin magnetization: 11.74 μB/f.u.
ΔH_f (0 K): 1.34 eV per atom
D(E_F): 4.90 states/eV/f.u.

[16]
Entry from the Alexandria database: a geometry-optimized V4MoW5 structure (PBE-GGA).

The structure in POSCAR format:
```
V4MoW5
1.0
6.3973 -2.2103 0.0000
6.3973 2.2103 0.0000
-0.7022 0.0000 5.3306
V Mo W
4 1 5
direct
0.0999 0.0999 0.2004
0.2987 0.2987 0.5985
0.7013 0.7013 0.4015
0.9001 0.9001 0.7996
0.5000 0.5000 0.0000
0.1011 0.1011 0.6967
0.2989 0.2989 0.1003
0.5000 0.5000 0.5000
0.7011 0.7011 0.8997
0.8989 0.8989 0.3033
```

distance to the lowest polymorph of the same formula: 0 meV per atom
spin magnetization: 0.00 μB/f.u.
ΔH_f (0 K): -0.09 eV per atom
D(E_F): 6.88 states/eV/f.u.

[17]
Entry from the Alexandria database: a geometry-optimized Ba3ZrRh structure (PBE-GGA).

The structure in POSCAR format:
```
Ba3ZrRh
1.0
5.9813 0.0000 0.0000
0.0000 5.9813 0.0000
0.0000 0.0000 5.9813
Ba Zr Rh
3 1 1
direct
0.0000 0.0000 0.5000
0.0000 0.5000 0.0000
0.5000 0.0000 0.0000
0.5000 0.5000 0.5000
0.0000 0.0000 0.0000
```

distance to the lowest polymorph of the same formula: 0 meV per atom
spin magnetization: 3.08 μB/f.u.
ΔH_f (0 K): 0.48 eV per atom
D(E_F): 10.93 states/eV/f.u.

[18]
Entry from the Alexandria database: a geometry-optimized CsSrUI6 structure (PBE-GGA).

The structure in POSCAR format:
```
CsSrUI6
1.0
8.3840 0.0000 0.0000
-4.1920 7.2607 0.0000
0.0000 0.0000 16.8635
Cs Sr U I
2 2 2 12
direct
0.0000 0.0000 0.0000
0.0000 0.0000 0.5000
0.3333 0.6667 0.2500
0.6667 0.3333 0.7500
0.3333 0.6667 0.7500
0.6667 0.3333 0.2500
0.0139 0.3817 0.6401
0.0139 0.6322 0.8599
0.3678 0.3817 0.8599
0.3678 0.9861 0.6401
0.3817 0.0139 0.1401
0.3817 0.3678 0.3599
0.6183 0.6322 0.6401
0.6183 0.9861 0.8599
0.6322 0.0139 0.3599
0.6322 0.6183 0.1401
0.9861 0.3678 0.1401
0.9861 0.6183 0.3599
```

ΔE_f (raw): -1287 meV/atom
spin magnetization: 3.00 μB/f.u.
D(E_F): 0.22 states/eV/f.u.